DFT (PBE) results for a relaxed ZrBSN2 crystal.

Geometry as CIF:
```
data_ZrBSN2
_symmetry_space_group_name_H-M 'P 4/m m m'
_symmetry_Int_Tables_number 123
_symmetry_space_group_name_Hall '-P 4 2'
_cell_length_a 3.5360
_cell_length_b 3.5360
_cell_length_c 4.2805
_cell_angle_alpha 90.00
_cell_angle_beta 90.00
_cell_angle_gamma 90.00
loop_
_atom_site_label
_atom_site_fract_x
_atom_site_fract_y
_atom_site_fract_z
Zr1 0.0000 0.0000 0.0000
B1 0.5000 0.5000 0.5000
S1 0.5000 0.5000 0.0000
N1 0.0000 0.5000 0.5000
```

Values from the calculation:
- Electronic total energy: -6.762 eV per atom
- Magnetization: 0.00 Bohr magnetons per cell
- DOS(E_F): 1.6 states/eV/f.u.
- Energy relative to the lowest polymorph listed for this composition: 0 meV/atom